1.
# K2BaSrN

A relaxed structure of K2BaSrN (GGA-PBEsol, Alexandria).

Geometry as POSCAR:
```
K2BaSrN
1.0
4.968 0.000 0.000
0.000 6.482 0.000
0.000 0.000 6.482
Sr K Ba N
1 2 1 1
direct
0.500 0.500 0.500
0.000 0.000 0.500
0.000 0.500 0.000
0.500 0.000 0.000
0.000 0.000 0.000
```

Properties
The space-group type is No. 123. Its uncorrected formation energy is 0.275 eV per atom.


2.
# K2BaSrN

A relaxed structure of K2BaSrN (GGA-PBEsol, Alexandria).

Geometry as POSCAR:
```
K2BaSrN
1.0
-0.874 4.747 -1.002
-5.578 -0.373 3.097
2.906 1.683 5.438
K Sr N Ba
2 1 1 1
direct
0.000 0.000 0.500
0.000 0.500 0.000
0.500 0.000 0.000
0.000 0.000 0.000
0.500 0.500 0.500
```

Properties
The space-group type is No. 123. Its uncorrected formation energy is 0.299 eV per atom.


3.
# KBaTe2N

A relaxed structure of KBaTe2N (GGA-PBEsol, Alexandria).

Geometry as POSCAR:
```
KBaTe2N
1.0
4.933 0.000 0.000
0.000 6.057 0.000
0.000 0.000 6.057
N Te K Ba
1 2 1 1
direct
0.500 0.000 0.000
0.000 0.500 0.000
0.000 0.000 0.500
0.000 0.000 0.000
0.500 0.500 0.500
```

Properties
The space-group type is No. 123. Its uncorrected formation energy is 0.393 eV per atom.


4.
# K2BaNa

A relaxed structure of K2BaNa (GGA-PBEsol, Alexandria).

Geometry as POSCAR:
```
K2BaNa
1.0
6.917 0.000 0.000
3.458 5.990 0.000
3.458 1.997 5.647
Na K Ba
1 2 1
direct
0.000 0.000 0.000
0.750 0.750 0.750
0.250 0.250 0.250
0.500 0.500 0.500
```

Properties
The space-group type is No. 225. The value obtained for the formation energy is 0.15 eV/atom.


5.
# K2BaNa2

A relaxed structure of K2BaNa2 (GGA-PBEsol, Alexandria).

Geometry as POSCAR:
```
K2BaNa2
1.0
5.601 0.000 0.000
0.000 5.601 0.000
-2.801 -2.801 8.694
Na K Ba
2 2 1
direct
0.408 0.408 0.816
0.592 0.592 0.184
0.250 0.750 0.500
0.750 0.250 0.500
0.000 0.000 0.000
```

Properties
The space-group type is No. 139. The value obtained for the formation energy is 0.09 eV/atom.


6.
# K2BaNa2

A relaxed structure of K2BaNa2 (GGA-PBEsol, Alexandria).

Geometry as POSCAR:
```
K2BaNa2
1.0
4.269 0.000 0.000
0.000 11.129 0.000
0.000 0.000 11.129
K Na Ba
4 4 2
direct
0.000 0.128 0.372
0.000 0.628 0.128
0.000 0.372 0.872
0.000 0.872 0.628
0.500 0.825 0.325
0.500 0.325 0.175
0.500 0.175 0.675
0.500 0.675 0.825
0.000 0.500 0.500
0.000 0.000 0.000
```

Properties
The space-group type is No. 127. The value obtained for the formation energy is 0.08 eV/atom.